Entry 1:
Below is a PBEsol-optimized structure of NaPIO2, with properties calculated at the SCAN level.

```
NaPIO2
1.0
3.752 0.000 0.000
0.000 3.752 0.000
0.000 0.000 5.643
Na P I O
1 1 1 2
direct
0.000 0.000 0.000
0.500 0.500 0.500
0.500 0.500 0.000
0.000 0.500 0.500
0.500 0.000 0.500
```

Results
Symmetry: P4/mmm, No. 123
Uncorrected formation energy: -60.4 kJ/mol of atoms
Energy above the lowest structure with this stoichiometry: 0.000 eV per formula unit
Calculated density: 4.45 g/cm³



Entry 2:
Below is a PBEsol-optimized structure of NaSIO2, with properties calculated at the SCAN level.

```
NaSIO2
1.0
4.122 0.000 0.000
0.000 4.122 0.000
0.000 0.000 6.409
Na S I O
1 1 1 2
direct
0.000 0.000 0.000
0.500 0.500 0.500
0.000 0.000 0.500
0.000 0.500 0.000
0.500 0.000 0.000
```

Results
Symmetry: P4/mmm, No. 123
Uncorrected formation energy: 53.1 kJ/mol of atoms
Calculated density: 3.26 g/cm³



Entry 3:
Below is a PBEsol-optimized structure of NaSeIO2, with properties calculated at the SCAN level.

```
NaSeIO2
1.0
3.975 0.000 0.000
0.000 3.975 0.000
0.000 0.000 5.885
Na Se I O
1 1 1 2
direct
0.000 0.000 0.000
0.500 0.500 0.500
0.500 0.500 0.000
0.000 0.500 0.500
0.500 0.000 0.500
```

Results
Symmetry: P4/mmm, No. 123
Uncorrected formation energy: -42.4 kJ/mol of atoms
Calculated density: 4.66 g/cm³



Entry 4:
Below is a PBEsol-optimized structure of NaSr2IO6, with properties calculated at the SCAN level.

```
NaSr2IO6
1.0
0.000 4.050 4.050
4.050 0.000 4.050
4.050 4.050 0.000
Na Sr I O
1 2 1 6
direct
0.000 0.000 0.000
0.250 0.250 0.250
0.750 0.750 0.750
0.500 0.500 0.500
0.269 0.269 0.731
0.269 0.731 0.269
0.269 0.731 0.731
0.731 0.269 0.269
0.731 0.269 0.731
0.731 0.731 0.269
```

Results
Symmetry: Fm-3m, No. 225
Uncorrected formation energy: -192.5 kJ/mol of atoms
Calculated density: 5.26 g/cm³



Entry 5:
Below is a PBEsol-optimized structure of NaTeI2O, with properties calculated at the SCAN level.

```
NaTeI2O
1.0
5.694 0.000 0.000
0.000 5.694 0.000
0.000 0.000 4.143
Na Te I O
1 1 2 1
direct
0.000 0.000 0.000
0.500 0.500 0.500
0.000 0.500 0.000
0.500 0.000 0.000
0.000 0.000 0.500
```

Results
Symmetry: P4/mmm, No. 123
Uncorrected formation energy: 16.0 kJ/mol of atoms
Calculated density: 5.20 g/cm³



Entry 6:
Below is a PBEsol-optimized structure of NaTiIO2, with properties calculated at the SCAN level.

```
NaTiIO2
1.0
3.901 0.000 0.000
0.000 3.901 0.000
0.000 0.000 5.694
Na Ti I O
1 1 1 2
direct
0.000 0.000 0.000
0.500 0.500 0.500
0.500 0.500 0.000
0.000 0.500 0.500
0.500 0.000 0.500
```

Results
Symmetry: P4/mmm, No. 123
Uncorrected formation energy: -185.2 kJ/mol of atoms
Calculated density: 4.40 g/cm³



Entry 7:
Below is a PBEsol-optimized structure of Na3OsI, with properties calculated at the SCAN level.

```
Na3OsI
1.0
5.640 0.000 0.000
0.000 5.640 0.000
0.000 0.000 5.640
Na Os I
3 1 1
direct
0.000 0.000 0.500
0.000 0.500 0.000
0.500 0.000 0.000
0.500 0.500 0.500
0.000 0.000 0.000
```

Results
Symmetry: Pm-3m, No. 221
Uncorrected formation energy: 85.4 kJ/mol of atoms
Calculated density: 3.57 g/cm³



Entry 8:
Below is a PBEsol-optimized structure of NaSbOsI2, with properties calculated at the SCAN level.

```
NaSbOsI2
1.0
5.691 0.000 0.000
0.000 5.691 0.000
0.000 0.000 4.921
Na Sb Os I
1 1 1 2
direct
0.000 0.000 0.000
0.500 0.500 0.000
0.500 0.500 0.500
0.000 0.500 0.500
0.500 0.000 0.500
```

Results
Symmetry: P4/mmm, No. 123
Uncorrected formation energy: 20.1 kJ/mol of atoms
Calculated density: 6.13 g/cm³